1.
Below is crystalline ScGa5Rh6 at its relaxed geometry, with properties calculated at the PBE level.

a = 4.2983 Å, b = 6.2161 Å, c = 6.7973 Å
α = 90.00°, β = 108.34°, γ = 90.00°
Last column: nearest neighbours and their distance in Å.
Space group P2/m (No. 10)
Asymmetric unit:
Sc 0.0000 0.0000 0.0000  8 Rh 2.70-2.71, 4 Ga 3.01
Ga 0.0000 0.5000 0.0000  8 Rh 2.61-2.68
Ga 0.3342 0.5000 0.6687  8 Rh 2.60-2.64
Ga 0.3365 0.0000 0.6731  8 Rh 2.66-2.67
Rh 0.1709 0.2539 0.3415  7 Ga 2.61-2.68, 1 Sc 2.71
Rh 0.5000 0.2628 0.0000  6 Ga 2.60-2.67, 2 Sc 2.70

Energy of formation = -0.80 eV per atom

2.
Below is crystalline AgHgIr2 at its relaxed geometry, with properties calculated at the PBE level.

a = 2.8312 Å, b = 2.8312 Å, c = 8.4696 Å
α = 90.00°, β = 90.00°, γ = 90.00°
Last column: nearest neighbours and their distance in Å.
Space group P4mm (No. 99)
Asymmetric unit:
Ag 0.0000 0.0000 0.0000  4 Ag 2.83, 4 Ir 2.93, 4 Hg 3.09
Hg 0.5000 0.5000 0.2783  4 Hg 2.83, 4 Ir 3.01, 4 Ag 3.09
Ir 0.0000 0.0000 0.5433  8 Ir 2.64-2.83
Ir 0.5000 0.5000 0.7474  8 Ir 2.64-2.83, 4 Ag 2.93

Energy of formation = 0.27 eV per atom

3.
Below is crystalline InCoIN2 at its relaxed geometry, with properties calculated at the PBE level.

a = 3.9703 Å, b = 3.9703 Å, c = 5.3865 Å
α = 90.00°, β = 90.00°, γ = 90.00°
Last column: nearest neighbours and their distance in Å.
Space group P4/mmm (No. 123)
Asymmetric unit:
In 0.0000 0.0000 0.0000  4 I 2.81
Co 0.5000 0.5000 0.5000  4 N 1.99
I 0.5000 0.5000 0.0000  2 Co 2.69, 4 In 2.81
N 0.0000 0.5000 0.5000  2 Co 1.99

Distance to the lowest polymorph of the same formula = 0 meV per atom
Formation energy from raw total energies = 1.2818 eV per atom

4.
Below is crystalline MgAlMo2 at its relaxed geometry, with properties calculated at the PBE level.

a = 2.7135 Å, b = 4.3513 Å, c = 5.4614 Å
α = 90.00°, β = 90.00°, γ = 90.00°
Last column: nearest neighbours and their distance in Å.
Space group Pmmm (No. 47)
Asymmetric unit:
Mg 0.0000 0.0000 0.0000  2 Mg 2.71, 2 Al 2.73, 8 Mo 2.92
Al 0.0000 0.0000 0.5000  2 Al 2.71, 2 Mg 2.73, 8 Mo 2.89
Mo 0.5000 0.5000 0.2564  4 Mo 2.66-2.80, 4 Al 2.89, 4 Mg 2.92

Distance to the lowest polymorph of the same formula = 123 meV per atom
Energy of formation = 0.13 eV per atom

5.
Below is crystalline MnCrInS4 at its relaxed geometry, with properties calculated at the PBE level.

a = 7.3043 Å, b = 7.4235 Å, c = 10.5360 Å
α = 90.00°, β = 90.00°, γ = 90.00°
Last column: nearest neighbours and their distance in Å.
Space group Imma (No. 74)
Asymmetric unit:
Mn 0.0000 0.2500 0.1268  4 S 2.39-2.43
Cr 0.2500 0.2500 0.7500  6 S 2.44-2.47
In 0.0000 0.0000 0.5000  6 S 2.60-2.64
S 0.0000 0.0265 0.7500  1 Mn 2.43, 2 Cr 2.47, 1 In 2.64
S 0.2485 0.2500 0.5184  1 Mn 2.39, 1 Cr 2.44, 2 In 2.60

Formation energy from raw total energies = -0.6097 eV per atom

6.
Below is crystalline KTlAu2 at its relaxed geometry, with properties calculated at the PBE level.

a = 4.9849 Å, b = 8.1049 Å, c = 6.6177 Å
α = 90.00°, β = 112.03°, γ = 90.00°
Last column: nearest neighbours and their distance in Å.
Space group P2_1/m (No. 11)
Asymmetric unit:
K 0.0639 0.2500 0.1298  6 Au 3.43-3.72, 3 Tl 3.57-3.58
Tl 0.3559 0.2500 0.7133  6 Au 3.02-3.10
Au 0.2412 0.5784 0.4820  3 Au 2.78-2.81, 3 Tl 3.02-3.10

Distance to the lowest polymorph of the same formula = 3 meV per atom
Energy of formation = -0.20 eV per atom

7.
Below is crystalline Y2SnHg2 at its relaxed geometry, with properties calculated at the PBE level.

a = 8.3778 Å, b = 8.3778 Å, c = 3.9425 Å
α = 90.00°, β = 90.00°, γ = 90.00°
Last column: nearest neighbours and their distance in Å.
Space group P4/mbm (No. 127)
Asymmetric unit:
Y 0.1623 0.3377 0.0000  6 Hg 3.08-3.20, 2 Sn 3.14
Sn 0.0000 0.0000 0.0000  4 Y 3.14
Hg 0.1375 0.6375 0.5000  6 Y 3.08-3.20, 1 Hg 3.26

Distance to the lowest polymorph of the same formula = 135 meV per atom
Energy of formation = -0.35 eV per atom

8.
Below is crystalline Tb5HoTmIn2 at its relaxed geometry, with properties calculated at the PBE level.

a = 7.6576 Å, b = 7.6576 Å, c = 19.2352 Å
α = 90.00°, β = 90.00°, γ = 90.00°
Last column: nearest neighbours and their distance in Å.
Space group I4/mcm (No. 140)
Asymmetric unit:
Tb 0.0000 0.0000 0.0000  4 In 3.04
Tb 0.2022 0.2978 0.1258  1 In 3.07, 1 Tm 3.24
Ho 0.0000 0.0000 0.2500  8 Tb 3.65, 4 Tm 3.83
Tm 0.0000 0.5000 0.2500  4 Tb 3.24
In 0.1232 0.3768 0.5000  1 In 2.67

Energy of formation = 0.00 eV per atom

9.
Below is crystalline MnAl2Zn at its relaxed geometry, with properties calculated at the PBE level.

a = 2.8108 Å, b = 2.8108 Å, c = 25.5529 Å
α = 90.00°, β = 90.00°, γ = 120.00°
Last column: nearest neighbours and their distance in Å.
Space group R3m (No. 160, hexagonal axes)
Asymmetric unit:
Mn 0.0000 0.0000 0.0000  6 Al 2.57-2.58, 6 Mn 2.81
Al 0.0000 0.0000 0.4118  3 Mn 2.58, 3 Zn 2.79, 6 Al 2.81
Al 0.0000 0.0000 0.5887  3 Mn 2.57, 3 Zn 2.77, 6 Al 2.81
Zn 0.0000 0.0000 0.8340  6 Al 2.77-2.79, 6 Zn 2.81

Energy of formation = -0.04 eV per atom

10.
Below is crystalline SmHo2IO8 at its relaxed geometry, with properties calculated at the PBE level.

a = 7.1097 Å, b = 7.1205 Å, c = 6.8922 Å
α = 90.00°, β = 90.00°, γ = 90.00°
Last column: nearest neighbours and their distance in Å.
Space group Cmmm (No. 65)
Asymmetric unit:
Sm 0.0000 0.0000 0.0000  6 O 2.24-2.42
Ho 0.0000 0.5000 0.2485  6 O 2.16-2.39
I 0.0000 0.0000 0.5000  6 O 1.90-1.92
O 0.0000 0.1827 0.2960  1 I 1.92
O 0.1853 0.5000 0.0000  2 Ho 2.16, 1 Sm 2.24
O 0.2322 0.5000 0.5000  1 I 1.90

Formation energy from raw total energies = -2.3306 eV per atom

11.
Below is crystalline Sb2OsCl at its relaxed geometry, with properties calculated at the PBE level.

a = 3.0966 Å, b = 5.4921 Å, c = 10.7477 Å
α = 90.00°, β = 90.00°, γ = 90.00°
Last column: nearest neighbours and their distance in Å.
Space group Cmm2 (No. 35)
Asymmetric unit:
Sb 0.0000 0.0000 0.0000  6 Sb 3.10-3.15
Sb 0.0000 0.5000 0.3175  2 Os 2.73
Os 0.0000 0.0000 0.5266  2 Cl 2.43
Cl 0.0000 0.5000 0.7004  2 Os 2.43

Distance to the lowest polymorph of the same formula = 583 meV per atom
Formation energy from raw total energies = 0.5702 eV per atom

12.
Below is crystalline LiCu3Ge2 at its relaxed geometry, with properties calculated at the PBE level.

a = 14.6024 Å, b = 4.0109 Å, c = 6.3170 Å
α = 90.00°, β = 106.77°, γ = 90.00°
Last column: nearest neighbours and their distance in Å.
Space group C2/m (No. 12)
Asymmetric unit:
Li 0.1155 0.0000 0.1635  6 Ge 2.78-3.06, 6 Cu 2.88-2.99
Cu 0.0703 0.0000 0.6810  3 Ge 2.40-2.45, 3 Cu 2.60
Cu 0.1328 0.5000 0.4996  4 Ge 2.43-2.60, 3 Cu 2.48-2.60
Cu 0.1937 0.5000 0.9091  4 Ge 2.46-2.64, 3 Cu 2.48-2.64
Ge 0.0126 0.5000 0.8082  4 Cu 2.40-2.53, 1 Ge 2.55
Ge 0.2390 0.0000 0.6868  7 Cu 2.45-2.64

Distance to the lowest polymorph of the same formula = 10 meV per atom
Energy of formation = -0.07 eV per atom